1.
DFT (SCAN) results for a crystal of BeGaTc3 relaxed with PBEsol.

a = 4.0863 Å, b = 4.0863 Å, c = 4.0863 Å
α = 90.00°, β = 90.00°, γ = 90.00°
Fractional coordinates of all 5 atoms:
Be 0.0000 0.0000 0.0000
Tc 0.0000 0.5000 0.0000
Tc 0.0000 0.0000 0.5000
Tc 0.5000 0.0000 0.0000
Ga 0.5000 0.5000 0.5000

Computed properties:
Total magnetic moment, μB/cell: 0.00
Fermi-level density of states, states/eV per cell: 5.94
E, eV for the cell shown: -122.93

***

2.
DFT (SCAN) results for a crystal of RbNa2Pb2 relaxed with PBEsol.

a = 5.8351 Å, b = 5.8351 Å, c = 6.7601 Å
α = 115.57°, β = 115.57°, γ = 90.00°
Fractional coordinates of all 5 atoms:
Pb 0.3684 0.3684 0.7368
Pb 0.6316 0.6316 0.2632
Na 0.2500 0.7500 0.5000
Na 0.7500 0.2500 0.5000
Rb 0.0000 0.0000 0.0000

Computed properties:
Total magnetic moment, μB/cell: 0.00
ΔE to the lowest computed polymorph, eV per atom: 0.000
Fermi-level density of states, states/eV per cell: 1.66
E, eV for the cell shown: -181.97

***

3.
DFT (SCAN) results for a crystal of BaY2Os relaxed with PBEsol.

a = 4.4234 Å, b = 4.4234 Å, c = 5.9759 Å
α = 111.72°, β = 111.72°, γ = 90.00°
Fractional coordinates of all 4 atoms:
Ba 0.5000 0.5000 0.0000
Os 0.2500 0.7500 0.5000
Y 0.0000 0.0000 0.0000
Y 0.7500 0.2500 0.5000

Computed properties:
Total magnetic moment, μB/cell: 0.00
ΔE to the lowest computed polymorph, eV per atom: 0.614
Fermi-level density of states, states/eV per cell: 3.03
E, eV for the cell shown: -164.74

***

4.
DFT (SCAN) results for a crystal of YTi2CoCl relaxed with PBEsol.

a = 4.4345 Å, b = 4.4345 Å, c = 5.0519 Å
α = 90.00°, β = 90.00°, γ = 90.00°
Each line ends with the local moment (μB).
Fractional coordinates of all 5 atoms:
Y 0.5000 0.5000 0.5000  0.59
Cl 0.0000 0.0000 0.5000  0.03
Co 0.0000 0.0000 0.0000  -0.02
Ti 0.0000 0.5000 0.0000  1.03
Ti 0.5000 0.0000 0.0000  1.03

Computed properties:
Total magnetic moment, μB/cell: 3.56
Fermi-level density of states, states/eV per cell: 4.38
E, eV for the cell shown: -83.27

***

5.
DFT (SCAN) results for a crystal of Cd3TcOs relaxed with PBEsol.

a = 5.0336 Å, b = 5.0336 Å, c = 5.0336 Å
α = 90.00°, β = 90.00°, γ = 90.00°
Each line ends with the local moment (μB).
Fractional coordinates of all 5 atoms:
Os 0.0000 0.0000 0.0000  0.96
Tc 0.5000 0.5000 0.5000  3.95
Cd 0.0000 0.5000 0.0000  -0.03
Cd 0.0000 0.0000 0.5000  -0.03
Cd 0.5000 0.0000 0.0000  -0.03

Computed properties:
Total magnetic moment, μB/cell: 4.94
Fermi-level density of states, states/eV per cell: 2.24
E, eV for the cell shown: -190.57

***

6.
DFT (SCAN) results for a crystal of Fe2B2O5 relaxed with PBEsol.

a = 3.0030 Å, b = 6.1432 Å, c = 8.8671 Å
α = 100.29°, β = 89.98°, γ = 91.10°
Each line ends with the local moment (μB).
Fractional coordinates of all 18 atoms:
B 0.6614 0.0923 0.8180  0.01
B 0.3386 0.9077 0.1820  0.01
B 0.2971 0.3100 0.6240  0.01
B 0.7029 0.6900 0.3760  0.01
Fe 0.7550 0.5884 0.9154  3.52
Fe 0.2450 0.4116 0.0846  3.52
Fe 0.2796 0.7884 0.6631  0.20
Fe 0.7204 0.2116 0.3369  0.20
O 0.2257 0.1268 0.1905  0.04
O 0.7448 0.2599 0.9349  0.11
O 0.2552 0.7401 0.0651  0.11
O 0.7743 0.8732 0.8095  0.04
O 0.7386 0.4960 0.2743  0.07
O 0.2240 0.2830 0.4707  0.02
O 0.5771 0.8812 0.3161  0.00
O 0.4229 0.1188 0.6839  0.00
O 0.7760 0.7170 0.5293  0.02
O 0.2614 0.5040 0.7257  0.07

Computed properties:
Total magnetic moment, μB/cell: 8.02
Fermi-level density of states, states/eV per cell: 5.19
E, eV for the cell shown: -199.35

***

7.
DFT (SCAN) results for a crystal of Gd2CuSe4O12 relaxed with PBEsol.

a = 6.8782 Å, b = 8.1073 Å, c = 10.5543 Å
α = 110.41°, β = 90.00°, γ = 90.00°
Each line ends with the local moment (μB).
Fractional coordinates of all 38 atoms:
Gd 0.3369 0.7634 0.4192  -6.97
Gd 0.8369 0.7366 0.5808  -6.97
Gd 0.6631 0.2366 0.5808  -6.97
Gd 0.1631 0.2634 0.4192  -6.97
Cu 0.5000 0.5000 0.0000  0.68
Cu 0.0000 0.0000 0.0000  0.68
Se 0.1781 0.1371 0.6886  0.00
Se 0.6781 0.3629 0.3114  0.00
Se 0.3240 0.8761 0.1360  0.00
Se 0.8240 0.6239 0.8640  0.00
Se 0.6760 0.1239 0.8640  0.00
Se 0.1760 0.3761 0.1360  0.00
Se 0.3219 0.6371 0.6886  0.00
Se 0.8219 0.8629 0.3114  0.00
O 0.6499 0.9104 0.4408  0.02
O 0.1499 0.5896 0.5592  0.02
O 0.3501 0.0896 0.5592  0.02
O 0.8501 0.4104 0.4408  0.02
O 0.8846 0.0764 0.3434  0.01
O 0.3846 0.4236 0.6566  0.01
O 0.1154 0.9236 0.6566  0.01
O 0.6154 0.5764 0.3434  0.01
O 0.4938 0.7231 0.6093  0.01
O 0.9938 0.7769 0.3907  0.01
O 0.2254 0.4706 0.3046  0.02
O 0.7254 0.0294 0.6954  0.02
O 0.7746 0.5294 0.6954  0.02
O 0.2746 0.9706 0.3046  0.02
O 0.1211 0.1743 0.1539  0.08
O 0.6211 0.3257 0.8461  0.08
O 0.8789 0.8257 0.8461  0.08
O 0.3789 0.6743 0.1539  0.08
O 0.0992 0.8196 0.0596  0.07
O 0.5992 0.6804 0.9404  0.07
O 0.9008 0.1804 0.9404  0.07
O 0.4008 0.3196 0.0596  0.07
O 0.5062 0.2769 0.3907  0.01
O 0.0062 0.2231 0.6093  0.01

Computed properties:
Total magnetic moment, μB/cell: 26.00
Fermi-level density of states, states/eV per cell: 0.00
E, eV for the cell shown: -641.58

***

8.
DFT (SCAN) results for a crystal of GdLuRu2 relaxed with PBEsol.

a = 4.6928 Å, b = 4.6928 Å, c = 4.6928 Å
α = 60.00°, β = 60.00°, γ = 60.00°
Each line ends with the local moment (μB).
Fractional coordinates of all 4 atoms:
Gd 0.5000 0.5000 0.5000  7.13
Lu 0.0000 0.0000 0.0000  0.03
Ru 0.7500 0.7500 0.7500  -0.10
Ru 0.2500 0.2500 0.2500  -0.10

Computed properties:
Total magnetic moment, μB/cell: 7.14
Fermi-level density of states, states/eV per cell: 2.31
E, eV for the cell shown: -185.47

***

9.
DFT (SCAN) results for a crystal of TaCrB3 relaxed with PBEsol.

a = 3.7149 Å, b = 3.7149 Å, c = 3.7149 Å
α = 90.00°, β = 90.00°, γ = 90.00°
Fractional coordinates of all 5 atoms:
Cr 0.0000 0.0000 0.0000
B 0.0000 0.5000 0.0000
B 0.0000 0.0000 0.5000
B 0.5000 0.0000 0.0000
Ta 0.5000 0.5000 0.5000

Computed properties:
Total magnetic moment, μB/cell: 0.00
Fermi-level density of states, states/eV per cell: 1.44
E, eV for the cell shown: -103.57

***

10.
DFT (SCAN) results for a crystal of AlAg7 relaxed with PBEsol.

a = 2.8609 Å, b = 4.9891 Å, c = 9.7832 Å
α = 101.25°, β = 90.00°, γ = 106.66°
Fractional coordinates of all 8 atoms:
Al 0.0000 0.0000 0.5000
Ag 0.7375 0.4751 0.6208
Ag 0.4924 0.9849 0.7416
Ag 0.2476 0.4952 0.8744
Ag 0.0000 0.0000 0.0000
Ag 0.7524 0.5048 0.1256
Ag 0.5076 0.0151 0.2584
Ag 0.2625 0.5249 0.3792

Computed properties:
Total magnetic moment, μB/cell: 0.00
ΔE to the lowest computed polymorph, eV per atom: 0.005
Fermi-level density of states, states/eV per cell: 2.03
E, eV for the cell shown: -227.66

***

11.
DFT (SCAN) results for a crystal of ZrBe2Ru relaxed with PBEsol.

a = 3.1430 Å, b = 3.3536 Å, c = 4.9733 Å
α = 90.00°, β = 108.42°, γ = 90.00°
Fractional coordinates of all 4 atoms:
Ru 0.1047 0.0000 0.2093
Zr 0.4132 0.5000 0.8265
Be 0.7981 0.0000 0.5963
Be 0.6817 0.5000 0.3634

Computed properties:
Total magnetic moment, μB/cell: 0.00
Fermi-level density of states, states/eV per cell: 0.19
E, eV for the cell shown: -75.94

***

12.
DFT (SCAN) results for a crystal of La3MgAg relaxed with PBEsol.

a = 5.7607 Å, b = 5.7607 Å, c = 5.7607 Å
α = 90.00°, β = 90.00°, γ = 90.00°
Each line ends with the local moment (μB).
Fractional coordinates of all 5 atoms:
Mg 0.5000 0.5000 0.5000  0.01
Ag 0.0000 0.0000 0.0000  0.12
La 0.0000 0.5000 0.0000  0.30
La 0.0000 0.0000 0.5000  0.30
La 0.5000 0.0000 0.0000  0.30

Computed properties:
Total magnetic moment, μB/cell: 3.00
Fermi-level density of states, states/eV per cell: 6.00
E, eV for the cell shown: -164.63

***

> Which of these has the highest E?

ZrBe2Ru

***

> What is the formula in the fifth record?

Cd3TcOs